Record 1
Computed, not measured: an optimized crystal structure of Mg2ScRh at the PBE-GGA level of DFT.

a b c (Å): 5.369 5.369 5.369
angles (deg): 135.87 135.87 64.17
Fractional coordinates of all 4 atoms:
Mg 0.250 0.750 0.500
Mg 0.750 0.250 0.500
Sc 0.000 0.000 0.000
Rh 0.500 0.500 0.000

Energy of formation = -363 meV per atom
Total DFT energy (no corrections) = -18.3 eV/cell

Record 2
Computed, not measured: an optimized crystal structure of CaMgIr2 at the PBE-GGA level of DFT.

a b c (Å): 3.093 4.873 4.599
angles (deg): 90.00 90.00 90.00
Fractional coordinates of all 4 atoms:
Ca 0.000 0.000 0.000
Mg 0.500 0.500 0.113
Ir 0.000 0.500 0.588
Ir 0.500 0.000 0.504

Energy of formation = -15 meV per atom
Total DFT energy (no corrections) = -21.4 eV/cell

Record 3
Computed, not measured: an optimized crystal structure of TaCrS2N at the PBE-GGA level of DFT.

a b c (Å): 4.650 4.650 3.472
angles (deg): 90.00 90.00 90.00
Fractional coordinates of all 5 atoms:
Ta 0.000 0.000 0.000
Cr 0.500 0.500 0.500
S 0.000 0.500 0.500
S 0.500 0.000 0.500
N 0.500 0.500 0.000

E above lowest polymorph = 0.2985 eV per atom
E_form (uncorrected) = 0.311 eV/atom
Total DFT energy (no corrections) = -36.5 eV/cell

Record 4
Computed, not measured: an optimized crystal structure of KTeCl at the PBE-GGA level of DFT.

a b c (Å): 5.519 5.519 3.518
angles (deg): 90.00 90.00 120.00
Fractional coordinates of all 3 atoms:
K 0.000 0.000 0.000
Te 0.667 0.333 0.500
Cl 0.333 0.667 0.500

E above lowest polymorph = 0.6089 eV per atom
E_form (uncorrected) = -0.587 eV/atom
Total DFT energy (no corrections) = -7.8 eV/cell

Record 5
Computed, not measured: an optimized crystal structure of LaNd3Tm2Te6 at the PBE-GGA level of DFT.

a b c (Å): 9.983 9.983 8.996
angles (deg): 103.82 103.82 25.47
Fractional coordinates of all 12 atoms:
La 0.000 0.000 0.000
Nd 0.000 0.000 0.500
Nd 0.341 0.341 0.171
Nd 0.659 0.659 0.829
Tm 0.334 0.334 0.671
Tm 0.666 0.666 0.329
Te 0.171 0.171 0.573
Te 0.172 0.172 0.096
Te 0.493 0.493 0.743
Te 0.507 0.507 0.257
Te 0.828 0.828 0.904
Te 0.829 0.829 0.427

E_form (uncorrected) = -1.369 eV/atom
Total DFT energy (no corrections) = -63.5 eV/cell

Record 6
Computed, not measured: an optimized crystal structure of MgNbGa at the PBE-GGA level of DFT.

a b c (Å): 6.867 6.257 4.675
angles (deg): 76.30 62.28 41.41
Fractional coordinates of all 6 atoms:
Mg 0.179 0.821 0.179
Mg 0.821 0.179 0.821
Nb 0.250 0.250 0.250
Nb 0.750 0.750 0.750
Ga 0.385 0.385 0.615
Ga 0.615 0.615 0.385

Energy of formation = 150 meV per atom
Total DFT energy (no corrections) = -28.5 eV/cell

Record 7
Computed, not measured: an optimized crystal structure of Dy3Cr5Se12 at the PBE-GGA level of DFT.

a b c (Å): 13.564 13.564 13.564
angles (deg): 109.47 109.47 109.47
Fractional coordinates of all 80 atoms:
Dy 0.125 0.250 0.375
Dy 0.125 0.375 0.750
Dy 0.250 0.375 0.125
Dy 0.250 0.875 0.625
Dy 0.375 0.125 0.250
Dy 0.375 0.750 0.125
Dy 0.625 0.250 0.875
Dy 0.625 0.875 0.750
Dy 0.750 0.125 0.375
Dy 0.750 0.625 0.875
Dy 0.875 0.625 0.250
Dy 0.875 0.750 0.625
Cr 0.000 0.000 0.000
Cr 0.000 0.000 0.500
Cr 0.000 0.500 0.000
Cr 0.000 0.500 0.500
Cr 0.125 0.750 0.875
Cr 0.125 0.875 0.250
Cr 0.250 0.125 0.875
Cr 0.250 0.625 0.375
Cr 0.375 0.250 0.625
Cr 0.375 0.625 0.750
Cr 0.500 0.000 0.000
Cr 0.500 0.000 0.500
Cr 0.500 0.500 0.000
Cr 0.500 0.500 0.500
Cr 0.625 0.375 0.250
Cr 0.625 0.750 0.375
Cr 0.750 0.375 0.625
Cr 0.750 0.875 0.125
Cr 0.875 0.125 0.750
Cr 0.875 0.250 0.125
Se 0.032 0.209 0.122
Se 0.032 0.323 0.910
Se 0.087 0.709 0.677
Se 0.087 0.878 0.410
Se 0.090 0.622 0.413
Se 0.090 0.968 0.677
Se 0.122 0.032 0.209
Se 0.122 0.590 0.913
Se 0.177 0.209 0.587
Se 0.177 0.468 0.590
Se 0.209 0.122 0.032
Se 0.209 0.587 0.177
Se 0.291 0.323 0.913
Se 0.291 0.468 0.378
Se 0.323 0.910 0.032
Se 0.323 0.913 0.291
Se 0.378 0.291 0.468
Se 0.378 0.587 0.910
Se 0.410 0.087 0.878
Se 0.410 0.823 0.532
Se 0.413 0.090 0.622
Se 0.413 0.823 0.791
Se 0.468 0.378 0.291
Se 0.468 0.590 0.177
Se 0.532 0.410 0.823
Se 0.532 0.622 0.709
Se 0.587 0.177 0.209
Se 0.587 0.910 0.378
Se 0.590 0.177 0.468
Se 0.590 0.913 0.122
Se 0.622 0.413 0.090
Se 0.622 0.709 0.532
Se 0.677 0.087 0.709
Se 0.677 0.090 0.968
Se 0.709 0.532 0.622
Se 0.709 0.677 0.087
Se 0.791 0.413 0.823
Se 0.791 0.878 0.968
Se 0.823 0.532 0.410
Se 0.823 0.791 0.413
Se 0.878 0.410 0.087
Se 0.878 0.968 0.791
Se 0.910 0.032 0.323
Se 0.910 0.378 0.587
Se 0.913 0.122 0.590
Se 0.913 0.291 0.323
Se 0.968 0.677 0.090
Se 0.968 0.791 0.878

E_form (uncorrected) = -0.872 eV/atom
Total DFT energy (no corrections) = -484.7 eV/cell

Record 8
Computed, not measured: an optimized crystal structure of RuRh2Au at the PBE-GGA level of DFT.

a b c (Å): 9.157 9.157 9.157
angles (deg): 17.47 17.47 17.47
Fractional coordinates of all 4 atoms:
Ru 0.000 0.000 0.000
Rh 0.256 0.256 0.256
Rh 0.744 0.744 0.744
Au 0.500 0.500 0.500

Energy of formation = 121 meV per atom
E above lowest polymorph = 0.0444 eV per atom
Total DFT energy (no corrections) = -26.8 eV/cell

Record 9
Computed, not measured: an optimized crystal structure of Nd2YTmAs4 at the PBE-GGA level of DFT.

a b c (Å): 7.241 4.188 7.250
angles (deg): 90.00 109.49 90.00
Fractional coordinates of all 8 atoms:
Nd 0.000 0.000 0.000
Nd 0.000 0.500 0.500
Y 0.500 0.000 0.500
Tm 0.500 0.500 0.000
As 0.260 0.500 0.251
As 0.261 0.000 0.756
As 0.739 0.000 0.244
As 0.740 0.500 0.749

Energy of formation = -1514 meV per atom
Total DFT energy (no corrections) = -51.2 eV/cell

Record 10
Computed, not measured: an optimized crystal structure of Y4In2C at the PBE-GGA level of DFT.

a b c (Å): 8.390 8.390 8.390
angles (deg): 145.72 145.72 49.27
Fractional coordinates of all 7 atoms:
Y 0.000 0.500 0.500
Y 0.162 0.162 0.000
Y 0.500 0.000 0.500
Y 0.838 0.838 0.000
In 0.368 0.368 0.000
In 0.632 0.632 0.000
C 0.000 0.000 0.000

Energy of formation = -401 meV per atom
Total DFT energy (no corrections) = -43.4 eV/cell

Record 11
Computed, not measured: an optimized crystal structure of KTaCl2 at the PBE-GGA level of DFT.

a b c (Å): 8.601 8.601 8.601
angles (deg): 140.84 140.84 56.58
Fractional coordinates of all 8 atoms:
K 0.000 0.000 0.000
K 0.750 0.250 0.500
Ta 0.250 0.750 0.500
Ta 0.500 0.500 0.000
Cl 0.229 0.625 0.104
Cl 0.375 0.479 0.604
Cl 0.521 0.125 0.896
Cl 0.875 0.771 0.396

E above lowest polymorph = 0.2945 eV per atom
E_form (uncorrected) = -0.136 eV/atom
Total DFT energy (no corrections) = -34.4 eV/cell